PBE-GGA Ac2Tb5Er5, relaxed; DOS(E_F) = 1.27 states/eV/atom; calculated volume = 397.2 Å³/cell; final energy = -4.4743 eV/atom
1.0
9.3156 -1.8175 0.0000
9.3156 1.8175 0.0000
-2.1662 0.0000 11.7311
Ac Tb Er
2 5 5
Cartesian
1.0385 0.0000 2.9506
15.4264 0.0000 8.7806
5.1161 0.0000 5.7946
7.1687 0.0000 2.9297
9.3156 0.0000 0.0000
9.2963 0.0000 8.8014
11.3489 0.0000 5.9365
-1.0831 0.0000 5.8656
0.9709 0.0000 11.7131
2.9561 0.0000 8.8427
13.5088 0.0000 2.8884
15.4940 0.0000 0.0180